Entry 1:
# B2IrPb, optimized geometry, DFT PBE
data_B2IrPb
_chemical_formula_sum 'B2 Ir1 Pb1'
_cell_length_a 4.3857
_cell_length_b 4.3857
_cell_length_c 4.3857
_cell_angle_alpha 60.00
_cell_angle_beta 60.00
_cell_angle_gamma 60.00
_space_group_name_H-M_alt 'P 1'
_space_group_IT_number 1
loop_
_space_group_symop_operation_xyz
'x,y,z'
loop_
_atom_site_label
_atom_site_fract_x
_atom_site_fract_y
_atom_site_fract_z
B1 0.7500 0.7500 0.7500
B2 0.0000 0.0000 0.0000
Ir1 0.2500 0.2500 0.2500
Pb1 0.5000 0.5000 0.5000
# Magnetic moment = 0.00 μB per cell
# Total DFT energy (no corrections) = -4.667 eV/atom

Entry 2:
# B2Ir3Pd, optimized geometry, DFT PBE
data_B2Ir3Pd
_chemical_formula_sum 'B2 Ir3 Pd1'
_cell_length_a 4.6308
_cell_length_b 3.2916
_cell_length_c 5.0268
_cell_angle_alpha 90.00
_cell_angle_beta 92.60
_cell_angle_gamma 90.00
_space_group_name_H-M_alt 'P 1'
_space_group_IT_number 1
loop_
_space_group_symop_operation_xyz
'x,y,z'
loop_
_atom_site_label
_atom_site_fract_x
_atom_site_fract_y
_atom_site_fract_z
Ir1 0.1149 0.5000 0.2610
Ir2 0.8836 0.5000 0.7446
Ir3 0.6192 0.0000 0.2527
B1 0.9902 0.0000 0.0058
B2 0.5151 0.5000 0.4820
Pd1 0.3770 0.0000 0.7539
# Magnetic moment = 0.01 μB per cell
# Total DFT energy (no corrections) = -7.622 eV/atom